# 1
Density functional theory data (PBE-GGA) for a geometry-optimized Be4NbIr5 structure.

size of the total moment	0.000	μB/atom
space-group type	P4/mmm (123)
ΔH_f (0 K)	-52.1	kJ/mol of atoms

abc: 2.826 2.826 15.156
angles: 90.00 90.00 90.00
Sites, in units of the cell vectors:
Ir 0.500 0.500 0.315
Ir 0.500 0.500 0.500
Ir 0.500 0.500 0.129
Ir 0.500 0.500 0.685
Ir 0.500 0.500 0.871
Be 0.000 0.000 0.408
Be 0.000 0.000 0.592
Be 0.000 0.000 0.777
Be 0.000 0.000 0.223
Nb 0.000 0.000 0.000



# 2
Density functional theory data (PBE-GGA) for a geometry-optimized BeNb2Ir structure.

size of the total moment	0.000	μB/atom
space-group type	I-42d (122)
ΔH_f (0 K)	42.0	kJ/mol of atoms

abc: 3.809 3.809 9.485
angles: 78.42 78.42 90.00
Sites, in units of the cell vectors:
Ir 0.000 0.000 0.000
Ir 0.750 0.250 0.500
Nb 0.875 0.862 0.750
Nb 0.612 0.125 0.250
Nb 0.375 0.388 0.750
Nb 0.138 0.625 0.250
Be 0.250 0.750 0.500
Be 0.500 0.500 0.000



# 3
Density functional theory data (PBE-GGA) for a geometry-optimized Be3NbIr structure.

ΔE to the lowest computed polymorph	1422	meV per atom
size of the total moment	0.000	μB/atom
space-group type	Pm-3m (221)
ΔH_f (0 K)	164.5	kJ/mol of atoms

abc: 4.159 4.159 4.159
angles: 90.00 90.00 90.00
Sites, in units of the cell vectors:
Ir 0.500 0.500 0.500
Be 0.000 0.500 0.000
Be 0.000 0.000 0.500
Be 0.500 0.000 0.000
Nb 0.000 0.000 0.000